The following is a DFT calculation (GGA-PBE) of an optimized crystal structure of K2ReRu.

Cell lengths 3.193, 4.325, 5.834 Å; angles 90.00, 90.00, 90.00 degrees
Fractional coordinates of all 4 atoms:
1 Ru 0.000 0.500 0.500
2 Re 0.500 0.000 0.500
3 K 0.500 0.500 0.000
4 K 0.000 0.000 0.000

Calculated values
Fermi-level density of states	2.1	states/eV/f.u.
spin magnetization	0.000	μB per atom
ΔE to the lowest computed polymorph	13.31	kcal/mol of atoms
calculated volume	20.1	Å³ per atom
DFT formation energy	129.58	kJ per mole of atoms